DFT (PBE) results for a geometry-optimized Pm8Rh3I4Cl structure.

Output
Calculated volume   493 Å³ per cell
Raw total energy   -83.52 eV for the cell shown
Spin magnetization   0.00 μB per formula unit
Formation energy without anion corrections   -0.96 eV/atom

abc: 8.4368 9.3699 8.4382
angles: 116.80 119.99 90.00
Element x y z (fractional)
I 0.0000 0.0000 0.0000
Pm 0.2944 0.3108 0.0525
Pm 0.2419 0.6892 0.4837
Rh 0.5000 0.5000 0.0000
Pm 0.7056 0.6892 0.9475
Cl 0.0000 0.5000 0.0000
Pm 0.2721 0.3165 0.5441
Pm 0.7279 0.6835 0.4559
Rh 0.5000 0.5000 0.5000
Pm 0.7581 0.3108 0.0525
I 0.5000 0.0000 0.5000
Pm 0.7581 0.3108 0.5163
Pm 0.2419 0.6892 0.9475
I 0.5000 0.0000 0.0000
Rh 0.0000 0.5000 0.5000
I 0.0000 0.0000 0.5000